[1]
## KTlCo2 (GGA-PBEsol)

Data for KTlCo2 after structural relaxation.

a b c (Å): 2.8568 5.0114 5.0114
angles (deg): 90.00 90.00 90.00
With the nearest neighbours (Å) after each atom.
Fractional positions:
K (0.5000, 0.5000, 0.5000)  2 K 2.86, 8 Co 2.88
Tl (0.5000, 0.0000, 0.0000)  2 Tl 2.86, 8 Co 2.88
Co (0.0000, 0.5000, 0.0000)  2 Co 2.86, 4 K 2.88, 4 Tl 2.88
Co (0.0000, 0.0000, 0.5000)  2 Co 2.86, 4 Tl 2.88, 4 K 2.88

Computed properties:
As for the space group: P4/mmm. The value obtained for the total energy is -14.59 eV/cell. The energy relative to the elements comes out at 112 kJ/mol of atoms. Its volume is 17.94 A^3/atom. For the magnetic moment, the calculation gives 2.86 μB/f.u.

---

[2]
## KTlCo2 (GGA-PBEsol)

Data for KTlCo2 after structural relaxation.

a b c (Å): 4.2424 4.2424 4.0471
angles (deg): 90.00 90.00 90.00
With the nearest neighbours (Å) after each atom.
Fractional positions:
Co (0.0000, 0.5000, 0.0000)  4 Tl 2.93, 4 K 2.93, 4 Co 3.00
Tl (0.0000, 0.0000, 0.5000)  8 Co 2.93, 4 K 3.00
Co (0.5000, 0.0000, 0.0000)  4 Tl 2.93, 4 K 2.93, 4 Co 3.00
K (0.5000, 0.5000, 0.5000)  8 Co 2.93, 4 Tl 3.00

Computed properties:
As for the space group: P4/mmm. The value obtained for the total energy is -14.40 eV/cell. The energy relative to the elements comes out at 117 kJ/mol of atoms. Its volume is 18.21 A^3/atom. For the magnetic moment, the calculation gives 2.47 μB/f.u.

---

[3]
## K2TlCo (GGA-PBEsol)

Data for K2TlCo after structural relaxation.

a b c (Å): 5.3336 5.3336 5.3336
angles (deg): 60.00 60.00 60.00
With the nearest neighbours (Å) after each atom.
Fractional positions:
K (0.0000, 0.0000, 0.0000)  4 K 3.27, 4 Tl 3.27
Co (0.5000, 0.5000, 0.5000)  4 Tl 3.27, 4 K 3.27
Tl (0.2500, 0.2500, 0.2500)  4 Co 3.27, 4 K 3.27
K (0.7500, 0.7500, 0.7500)  4 K 3.27, 4 Co 3.27

Computed properties:
As for the space group: F-43m. The value obtained for the total energy is -9.68 eV/cell. The energy relative to the elements comes out at 71 kJ/mol of atoms. Its volume is 26.82 A^3/atom. As for the relative energy among the computed polymorphs: 1.26 eV/f.u. For the magnetic moment, the calculation gives 1.20 μB/f.u.

---

[4]
## K3TlCo (GGA-PBEsol)

Data for K3TlCo after structural relaxation.

a b c (Å): 6.0546 6.0546 6.0546
angles (deg): 90.00 90.00 90.00
With the nearest neighbours (Å) after each atom.
Fractional positions:
Co (0.0000, 0.0000, 0.0000)  6 K 3.03
K (0.0000, 0.0000, 0.5000)  2 Co 3.03
K (0.0000, 0.5000, 0.0000)  2 Co 3.03
K (0.5000, 0.0000, 0.0000)  2 Co 3.03
Tl (0.5000, 0.5000, 0.5000)  12 K 4.28

Computed properties:
As for the space group: Pm-3m. The value obtained for the total energy is -9.62 eV/cell. The energy relative to the elements comes out at 80 kJ/mol of atoms. Its volume is 44.39 A^3/atom. For the magnetic moment, the calculation gives 1.88 μB/f.u.

---

[5]
## KTlCo2 (GGA-PBEsol)

Data for KTlCo2 after structural relaxation.

a b c (Å): 4.7316 4.7316 4.7316
angles (deg): 60.00 60.00 60.00
With the nearest neighbours (Å) after each atom.
Fractional positions:
Co (0.7500, 0.7500, 0.7500)  4 Co 2.90, 4 K 2.90
Co (0.0000, 0.0000, 0.0000)  4 Co 2.90, 4 Tl 2.90
Tl (0.2500, 0.2500, 0.2500)  4 K 2.90, 4 Co 2.90
K (0.5000, 0.5000, 0.5000)  4 Tl 2.90, 4 Co 2.90

Computed properties:
As for the space group: F-43m. The value obtained for the total energy is -14.74 eV/cell. The energy relative to the elements comes out at 109 kJ/mol of atoms. Its volume is 18.73 A^3/atom. For the magnetic moment, the calculation gives 3.25 μB/f.u.

---

[6]
## K2TlCo (GGA-PBEsol)

Data for K2TlCo after structural relaxation.

a b c (Å): 4.1866 5.6476 5.6476
angles (deg): 118.96 89.97 89.97
With the nearest neighbours (Å) after each atom.
Fractional positions:
K (0.0000, 0.0000, 0.5000)  2 K 2.87
Co (0.5000, 0.0000, 0.0000)  2 Tl 2.87
Tl (0.5000, 0.5000, 0.5000)  2 Co 2.87
K (0.0000, 0.5000, 0.0000)  2 K 2.87

Computed properties:
As for the space group: Cmmm. The value obtained for the total energy is -9.44 eV/cell. The energy relative to the elements comes out at 77 kJ/mol of atoms. Its volume is 29.21 A^3/atom. As for the relative energy among the computed polymorphs: 1.50 eV/f.u. For the magnetic moment, the calculation gives 1.40 μB/f.u.